# 1
! GGA-PBE NiWCl2, relaxed; values from VASP
&SYSTEM
  ibrav = 0, nat = 4, ntyp = 3
/
ATOMIC_SPECIES
Ni 58.69 Ni.upf
W 183.84 W.upf
Cl 35.45 Cl.upf
CELL_PARAMETERS angstrom
0.000 3.049 3.049
3.049 0.000 3.049
3.049 3.049 0.000
ATOMIC_POSITIONS crystal
Ni 0.000 0.000 0.000
W 0.500 0.500 0.500
Cl 0.250 0.250 0.250
Cl 0.750 0.750 0.750
! Spin magnetization = 0.00 μB/f.u.
! Formation energy (no corrections) = 931 meV/atom
! Relative energy among the computed polymorphs = 1085.7 meV per atom
! Final energy = -4.68 eV per atom

---

# 2
! GGA-PBE NiWCl2, relaxed; values from VASP
&SYSTEM
  ibrav = 0, nat = 4, ntyp = 3
/
ATOMIC_SPECIES
Ni 58.69 Ni.upf
W 183.84 W.upf
Cl 35.45 Cl.upf
CELL_PARAMETERS angstrom
1.431 -2.814 0.000
1.431 2.814 0.000
0.000 0.000 8.037
ATOMIC_POSITIONS crystal
Ni 0.000 0.000 0.000
W 0.000 0.000 0.500
Cl 0.500 0.500 0.244
Cl 0.500 0.500 0.756
! Spin magnetization = 0.95 μB/f.u.
! Formation energy (no corrections) = 565 meV/atom
! Relative energy among the computed polymorphs = 719.1 meV per atom
! Final energy = -5.04 eV per atom

---

# 3
! GGA-PBE NiW2Cl, relaxed; values from VASP
&SYSTEM
  ibrav = 0, nat = 4, ntyp = 3
/
ATOMIC_SPECIES
Ni 58.69 Ni.upf
W 183.84 W.upf
Cl 35.45 Cl.upf
CELL_PARAMETERS angstrom
2.725 -4.226 0.000
2.725 4.226 0.000
-0.937 0.000 2.592
ATOMIC_POSITIONS crystal
Ni 0.000 0.000 0.000
W 0.000 0.500 0.500
W 0.500 0.000 0.500
Cl 0.500 0.500 0.000
! Spin magnetization = 0.00 μB/f.u.
! Formation energy (no corrections) = 912 meV/atom
! Relative energy among the computed polymorphs = 574.2 meV per atom
! Final energy = -7.47 eV per atom